# 1
Computed, not measured: a crystal of BaNdCo2O5 relaxed with PBEsol at the meta-GGA SCAN level of DFT.

Lattice parameters (Å, degrees): 3.8548 3.8548 7.4036 90.00 90.00 90.00
Positions (direct):
Ba 0.0000 0.0000 0.0000
Nd 0.0000 0.0000 0.5000
Co 0.5000 0.5000 0.2562
Co 0.5000 0.5000 0.7438
O 0.0000 0.5000 0.2958
O 0.0000 0.5000 0.7042
O 0.5000 0.0000 0.2958
O 0.5000 0.0000 0.7042
O 0.5000 0.5000 0.0000

Formation energy (no corrections) = -2256 meV per atom
Density of states at the Fermi level = 0.47 states/eV per atom
E = -18.8003 eV/atom

---

# 2
Computed, not measured: a crystal of KAg3P relaxed with PBEsol at the meta-GGA SCAN level of DFT.

Lattice parameters (Å, degrees): 5.1020 5.1020 5.1020 90.00 90.00 90.00
Positions (direct):
K 0.0000 0.0000 0.0000
Ag 0.0000 0.0000 0.5000
Ag 0.0000 0.5000 0.0000
Ag 0.5000 0.0000 0.0000
P 0.5000 0.5000 0.5000

Density of states at the Fermi level = 0.37 states/eV per atom
Energy of formation from the pure elements = 157 kJ per mole of atoms
E = -20.9419 eV/atom

---

# 3
Computed, not measured: a crystal of NaSc2Au relaxed with PBEsol at the meta-GGA SCAN level of DFT.

Lattice parameters (Å, degrees): 11.7018 11.7018 11.7018 14.93 14.93 14.93
Positions (direct):
Na 0.0000 0.0000 0.0000
Sc 0.4219 0.4219 0.4219
Sc 0.5781 0.5781 0.5781
Au 0.5000 0.5000 0.5000

Density of states at the Fermi level = 1.27 states/eV per atom
Energy of formation from the pure elements = 33 kJ per mole of atoms
E = -25.1175 eV/atom

---

# 4
Computed, not measured: a crystal of Cs2Mo3P5O19 relaxed with PBEsol at the meta-GGA SCAN level of DFT.

Lattice parameters (Å, degrees): 6.4670 14.5363 9.6800 90.00 105.38 90.00
Positions (direct):
Cs 0.0000 0.0000 0.0000
Cs 0.0000 0.5000 0.0000
Cs 0.0475 0.2500 0.3743
Cs 0.9525 0.7500 0.6257
Mo 0.2806 0.6269 0.3568
Mo 0.2806 0.8731 0.3568
Mo 0.3746 0.2500 0.0363
Mo 0.6254 0.7500 0.9637
Mo 0.7194 0.1269 0.6432
Mo 0.7194 0.3731 0.6432
P 0.1670 0.7500 0.0519
P 0.2687 0.1026 0.7377
P 0.2687 0.3974 0.7377
P 0.4929 0.5664 0.7113
P 0.4929 0.9336 0.7113
P 0.5071 0.0664 0.2887
P 0.5071 0.4336 0.2887
P 0.7313 0.6026 0.2623
P 0.7313 0.8974 0.2623
P 0.8330 0.2500 0.9481
O 0.0332 0.0975 0.6542
O 0.0332 0.4025 0.6542
O 0.0631 0.2500 0.0465
O 0.2093 0.6621 0.1454
O 0.2093 0.8379 0.1454
O 0.2639 0.7500 0.3927
O 0.3045 0.1508 0.8803
O 0.3045 0.3492 0.8803
O 0.3067 0.7500 0.9459
O 0.3137 0.0077 0.2989
O 0.3137 0.4923 0.2989
O 0.3462 0.5024 0.7848
O 0.3459 0.5927 0.5663
O 0.3459 0.9073 0.5663
O 0.3462 0.9976 0.7848
O 0.3983 0.1366 0.6360
O 0.3983 0.3634 0.6360
O 0.4337 0.1476 0.1919
O 0.4337 0.3524 0.1919
O 0.5663 0.6476 0.8081
O 0.5663 0.8524 0.8081
O 0.6017 0.6366 0.3640
O 0.6017 0.8634 0.3640
O 0.6538 0.0024 0.2152
O 0.6541 0.0927 0.4337
O 0.6541 0.4073 0.4337
O 0.6538 0.4976 0.2152
O 0.6863 0.5077 0.7011
O 0.6863 0.9923 0.7011
O 0.6933 0.2500 0.0541
O 0.6955 0.6508 0.1197
O 0.6955 0.8492 0.1197
O 0.7361 0.2500 0.6073
O 0.7907 0.1621 0.8546
O 0.7907 0.3379 0.8546
O 0.9369 0.7500 0.9535
O 0.9668 0.5975 0.3458
O 0.9668 0.9025 0.3458

Formation energy (no corrections) = -2365 meV per atom
Density of states at the Fermi level = 0.10 states/eV per atom
E = -14.4568 eV/atom

---

# 5
Computed, not measured: a crystal of CaOsPt3 relaxed with PBEsol at the meta-GGA SCAN level of DFT.

Lattice parameters (Å, degrees): 4.6893 4.6893 4.6893 90.00 90.00 90.00
Positions (direct):
Ca 0.0000 0.0000 0.0000
Os 0.5000 0.5000 0.5000
Pt 0.0000 0.0000 0.5000
Pt 0.0000 0.5000 0.0000
Pt 0.5000 0.0000 0.0000

Density of states at the Fermi level = 1.01 states/eV per atom
Energy of formation from the pure elements = 217 kJ per mole of atoms
E = -56.1773 eV/atom

---

# 6
Computed, not measured: a crystal of ZnRe2W relaxed with PBEsol at the meta-GGA SCAN level of DFT.

Lattice parameters (Å, degrees): 4.8107 4.8107 4.8107 133.19 133.19 68.36
Positions (direct):
Zn 0.0000 0.0000 0.0000
Re 0.5000 0.5000 0.0000
Re 0.7500 0.2500 0.5000
W 0.2500 0.7500 0.5000

Density of states at the Fermi level = 0.76 states/eV per atom
Energy of formation from the pure elements = 26 kJ per mole of atoms
E = -56.0770 eV/atom